CrCdAg2 at its PBEsol-relaxed geometry, computed with SCAN.

DFT total energy in eV/atom: -27.790
D(E_F) in states/eV/atom: 0.404
Formation enthalpy at 0 K in meV/atom: 93
Total magnetic moment in μB/atom: 1.038
Space group: I4/mmm, No. 139

Cell: 4.946 4.946 4.946 Å, 130.83 130.83 72.08°
Sites, in units of the cell vectors:
Cr 0.000 0.000 0.000
Cd 0.500 0.500 0.000
Ag 0.250 0.750 0.500
Ag 0.750 0.250 0.500